1.
A relaxed Al2IrW crystal, computed with PBE.

Computed properties:
* crystal system: orthorhombic
* energy of formation from the pure elements: -0.34 eV per atom
* SG: Pmm2, No. 25

POSCAR file:
```
Al2IrW
1.0
2.8783 0.0000 0.0000
0.0000 3.6136 0.0000
0.0000 0.0000 5.6962
Al Ir W
2 1 1
Direct
0.0000 0.0000 0.0000
0.5000 0.5000 0.2542
0.0000 0.0000 0.4763
0.5000 0.5000 0.7520
```


2.
A relaxed InReAg2 crystal, computed with PBE.

Computed properties:
* crystal system: orthorhombic
* energy of formation from the pure elements: 0.46 eV per atom
* SG: Cmm2, No. 35

POSCAR file:
```
InReAg2
1.0
1.6555 -2.2838 0.0000
1.6555 2.2838 0.0000
0.0000 0.0000 9.4645
In Re Ag
1 1 2
Direct
0.0000 0.0000 0.0000
0.5000 0.5000 0.7531
0.0000 0.0000 0.5097
0.5000 0.5000 0.2614
```


3.
A relaxed FeNi2I crystal, computed with PBE.

Computed properties:
* crystal system: cubic
* SG: Fm-3m, No. 225

POSCAR file:
```
FeNi2I
1.0
0.0000 3.0985 3.0985
3.0985 0.0000 3.0985
3.0985 3.0985 0.0000
Fe Ni I
1 2 1
Direct
0.0000 0.0000 0.0000
0.2500 0.2500 0.2500
0.7500 0.7500 0.7500
0.5000 0.5000 0.5000
```


4.
A relaxed Be4SiTc crystal, computed with PBE.

Computed properties:
* crystal system: orthorhombic
* SG: Cmc2_1, No. 36

POSCAR file:
```
Be4SiTc
1.0
1.7061 -4.5678 0.0000
1.7061 4.5678 0.0000
0.0000 0.0000 7.6839
Be Si Tc
8 2 2
Direct
0.0030 0.9970 0.5000
0.1406 0.8594 0.2410
0.3484 0.6516 0.5136
0.4841 0.5159 0.7930
0.5159 0.4841 0.2930
0.6516 0.3484 0.0136
0.8594 0.1406 0.7410
0.9970 0.0030 0.0000
0.3296 0.6704 0.0212
0.6704 0.3296 0.5212
0.1689 0.8311 0.7596
0.8311 0.1689 0.2596
```


5.
A relaxed ErZnH crystal, computed with PBE.

Computed properties:
* crystal system: orthorhombic
* SG: Cmcm, No. 63

POSCAR file:
```
ErZnH
1.0
1.8691 -5.9340 0.0000
1.8691 5.9340 0.0000
0.0000 0.0000 4.1427
Er Zn H
2 2 2
Direct
0.1603 0.8397 0.7500
0.8397 0.1603 0.2500
0.4432 0.5568 0.7500
0.5568 0.4432 0.2500
0.2407 0.7593 0.2500
0.7593 0.2407 0.7500
```


6.
A relaxed La8PdRu3Cl4 crystal, computed with PBE.

Computed properties:
* crystal system: monoclinic
* SG: C2/m, No. 12

POSCAR file:
```
La8PdRu3Cl4
1.0
7.1835 -4.1481 0.0000
7.1835 4.1481 0.0000
-4.7957 0.0000 7.6869
La Pd Ru Cl
8 1 3 4
Direct
0.2222 0.7418 0.7051
0.2363 0.2363 0.7082
0.2583 0.2583 0.2949
0.2582 0.7778 0.2949
0.7418 0.2222 0.7051
0.7417 0.7417 0.7051
0.7637 0.7637 0.2918
0.7778 0.2582 0.2949
0.5000 0.5000 0.5000
0.0000 0.0000 0.5000
0.0000 0.5000 0.5000
0.5000 0.0000 0.5000
0.0000 0.0000 0.0000
0.0000 0.5000 0.0000
0.5000 0.0000 0.0000
0.5000 0.5000 0.0000
```


7.
A relaxed Sc2TlAs crystal, computed with PBE.

Computed properties:
* crystal system: orthorhombic
* energy of formation from the pure elements: -0.61 eV per atom
* SG: Cmmm, No. 65

POSCAR file:
```
Sc2TlAs
1.0
2.0780 -2.6310 0.0000
2.0780 2.6310 0.0000
0.0000 0.0000 8.0796
Sc Tl As
2 1 1
Direct
0.0000 0.0000 0.2122
0.0000 0.0000 0.7878
0.5000 0.5000 0.5000
0.5000 0.5000 0.0000
```


8.
A relaxed RbNa10In2 crystal, computed with PBE.

Computed properties:
* crystal system: orthorhombic
* energy of formation from the pure elements: -0.03 eV per atom
* SG: Cmcm, No. 63

POSCAR file:
```
RbNa10In2
1.0
5.9193 -6.7958 0.0000
5.9193 6.7958 0.0000
0.0000 0.0000 11.6828
Rb Na In
2 20 4
Direct
0.1286 0.8714 0.7500
0.8714 0.1286 0.2500
0.1290 0.4109 0.7500
0.1621 0.8379 0.0926
0.1621 0.8379 0.4074
0.2218 0.4771 0.2500
0.2273 0.2273 0.0000
0.2273 0.2273 0.5000
0.3773 0.6227 0.5504
0.3773 0.6227 0.9496
0.4109 0.1290 0.2500
0.4771 0.2218 0.7500
0.5229 0.7782 0.2500
0.5891 0.8710 0.7500
0.6227 0.3773 0.0504
0.6227 0.3773 0.4496
0.7727 0.7727 0.0000
0.7727 0.7727 0.5000
0.7782 0.5229 0.7500
0.8379 0.1621 0.5926
0.8379 0.1621 0.9074
0.8710 0.5891 0.2500
0.0000 0.5000 0.0000
0.0000 0.5000 0.5000
0.5000 0.0000 0.0000
0.5000 0.0000 0.5000
```


no.,M_tot (μB per atom),E_tot (eV/atom)
1,0.000,-7.67
2,0.000,-4.76
3,0.874,-4.68
4,0.000,-5.25
5,0.000,-3.53
6,0.000,-6.09
7,0.000,-5.53
8,0.000,-1.54